Record 1
10
Lattice="7.102 0.000 0.000 0.000 7.102 0.000 0.000 0.000 2.701" Properties=species:S:1:pos:R:3 comment="NbCo2Os2 PBE-GGA optimized geometry" volume_a3_per_fu=68.1 total_energy_ev_per_cell=-92.82 polymorph_energy_ev_per_fu=0.00 ef_ev_per_atom=0.067 pbc="T T T"
Os 5.852 2.301 1.351
Co 0.841 2.710 0.000
Nb 3.551 3.551 0.000
Co 6.261 4.392 0.000
Co 2.710 6.261 0.000
Os 1.250 4.801 1.351
Os 2.301 1.250 1.351
Nb 0.000 0.000 0.000
Os 4.801 5.852 1.351
Co 4.392 0.841 0.000



Record 2
4
Lattice="3.467 0.000 0.000 0.000 3.467 0.000 0.000 0.000 7.336" Properties=species:S:1:pos:R:3 comment="Zr2PaTa PBE-GGA optimized geometry" volume_a3_per_fu=88.2 total_energy_ev_per_cell=-37.75 polymorph_energy_ev_per_fu=0.16 ef_ev_per_atom=0.175 pbc="T T T"
Zr 0.000 0.000 1.704
Zr 0.000 0.000 5.632
Pa 1.733 1.733 3.668
Ta 1.733 1.733 0.000



Record 3
5
Lattice="-1.525 3.681 1.460 -3.903 -1.663 0.115 0.701 -1.359 4.157" Properties=species:S:1:pos:R:3 comment="SrYH2O PBE-GGA optimized geometry" volume_a3_per_fu=79.8 total_energy_ev_per_cell=-26.43 pbc="T T T"
O 0.351 -0.679 2.079
H -0.763 1.840 0.730
Y 0.000 0.000 0.000
Sr -2.363 0.330 2.866
H -1.951 -0.831 0.058



Record 4
4
Lattice="0.000 3.645 3.645 3.645 0.000 3.645 3.645 3.645 0.000" Properties=species:S:1:pos:R:3 comment="La2CrTc PBE-GGA optimized geometry" volume_a3_per_fu=96.9 total_energy_ev_per_cell=-28.28 polymorph_energy_ev_per_fu=0.57 ef_ev_per_atom=0.392 pbc="T T T"
La 1.822 1.822 1.822
Tc 3.645 3.645 3.645
La 5.467 5.467 5.467
Cr 0.000 0.000 0.000



Record 5
6
Lattice="-2.922 -1.511 0.884 1.433 -3.053 -0.481 3.013 -0.123 9.750" Properties=species:S:1:pos:R:3 comment="Ho2ErRh3 PBE-GGA optimized geometry" volume_a3_per_fu=118.4 total_energy_ev_per_cell=-41.27 polymorph_energy_ev_per_fu=0.01 ef_ev_per_atom=-0.916 pbc="T T T"
Er 0.762 -2.343 5.076
Rh 1.008 -0.041 3.261
Rh 0.000 0.000 0.000
Rh 2.006 -0.082 6.489
Ho 1.765 -2.384 8.322
Ho -0.241 -2.302 1.830



Record 6
4
Lattice="-1.314 2.504 2.954 1.223 -0.573 3.861 3.943 3.682 1.464" Properties=species:S:1:pos:R:3 comment="YGa2Ni PBE-GGA optimized geometry" volume_a3_per_fu=73.4 total_energy_ev_per_cell=-20.63 ef_ev_per_atom=-0.583 pbc="T T T"
Ni 1.926 2.807 4.140
Y 0.000 0.000 0.000
Ga 1.410 1.745 1.979
Ga 2.441 3.868 6.300



Record 7
12
Lattice="-6.521 -2.447 -0.479 2.971 0.820 6.264 -1.200 6.846 -1.627" Properties=species:S:1:pos:R:3 comment="Na3PrU2S6 PBE-GGA optimized geometry" volume_a3_per_fu=284.7 total_energy_ev_per_cell=-73.85 raw_formation_energy_kj_per_mol_fu=-1715 pbc="T T T"
S 0.473 1.744 2.235
U -3.357 -1.358 1.769
S -1.870 4.813 0.299
Pr 0.000 0.000 0.000
U -0.193 -0.269 4.017
Na -2.375 2.609 2.079
S -2.806 0.616 -0.095
S -1.945 4.603 4.253
S -5.224 3.475 1.923
Na -5.558 1.514 -0.182
S -2.881 0.405 3.859
Na 0.807 3.705 4.340



Record 8
12
Lattice="6.361 -0.050 0.000 -1.681 7.890 0.000 -2.340 -3.920 6.875" Properties=species:S:1:pos:R:3 comment="Pm4GaPt PBE-GGA optimized geometry" volume_a3_per_fu=172.2 total_energy_ev_per_cell=-62.68 polymorph_energy_ev_per_fu=0.28 ef_ev_per_atom=-0.545 pbc="T T T"
Ga 0.750 3.932 1.783
Pm -0.930 1.637 5.963
Pm 4.590 5.532 0.912
Pm 3.270 2.283 0.912
Pm 2.336 2.950 4.348
Ga 1.590 -0.012 5.092
Pm -0.837 4.915 4.348
Pt 1.590 -0.012 0.016
Pm 0.004 0.970 2.527
Pm 3.177 -0.995 2.527
Pt 0.750 3.932 6.858
Pm -2.251 -1.612 5.963



Record 9
12
Lattice="-5.104 -3.420 0.444 5.539 -2.694 0.111 0.041 2.983 7.811" Properties=species:S:1:pos:R:3 comment="HfTl3Cr2S6 PBE-GGA optimized geometry" volume_a3_per_fu=264.4 total_energy_ev_per_cell=-70.50 raw_formation_energy_kj_per_mol_fu=-910 pbc="T T T"
S -1.487 -2.319 6.960
Hf 0.000 0.000 0.000
S -1.743 -1.064 1.522
Tl 0.238 -1.565 4.183
S 0.317 -3.857 1.726
S 0.158 0.726 6.640
S 1.962 -0.811 1.406
Tl -3.309 -1.808 4.294
Cr -1.556 -3.178 0.333
Cr 1.991 -2.936 0.222
Tl 3.785 -1.323 4.072
S 2.218 -2.066 6.844



Record 10
10
Lattice="-1.670 1.945 -3.361 -0.916 -3.753 -1.716 -9.073 0.122 4.577" Properties=species:S:1:pos:R:3 comment="Pr2BeGe3Ir4 PBE-GGA optimized geometry" volume_a3_per_fu=181.6 total_energy_ev_per_cell=-69.74 ef_ev_per_atom=-0.716 pbc="T T T"
Pr -7.201 -1.786 2.543
Ge -1.672 -1.860 -0.246
Be -5.829 -0.843 -0.250
Pr -3.165 1.003 -0.505
Ir -3.894 -1.830 0.875
Ge -8.693 1.078 2.284
Ir -6.472 1.048 1.163
Ge -4.536 0.061 2.288
Ir 0.000 0.000 0.000
Ir -1.293 -0.904 -2.539



Record 11
18
Lattice="9.131 0.000 0.000 -4.566 7.908 0.000 0.000 0.000 6.122" Properties=species:S:1:pos:R:3 comment="U3TiSb5 PBE-GGA optimized geometry" volume_a3_per_fu=221.0 total_energy_ev_per_cell=-131.84 raw_formation_energy_kj_per_mol_fu=-343 pbc="T T T"
Sb 0.000 5.272 0.000
Sb 4.566 2.636 3.061
Sb -3.370 5.836 4.592
Sb 1.196 2.072 4.592
Ti 0.000 0.000 0.000
U 3.550 0.000 4.592
Sb -1.196 2.072 1.531
U -2.791 4.834 1.531
U -1.775 3.074 4.592
Sb 0.000 5.272 3.061
Sb 2.392 0.000 1.531
U 1.775 3.074 1.531
Ti 0.000 0.000 3.061
U 2.791 4.834 4.592
Sb 6.739 0.000 4.592
Sb 3.370 5.836 1.531
Sb 4.566 2.636 0.000
U 5.581 0.000 1.531



Record 12
4
Lattice="4.002 0.000 0.000 0.000 2.822 0.468 0.000 1.872 6.161" Properties=species:S:1:pos:R:3 comment="HgPt2Rh PBE-GGA optimized geometry" volume_a3_per_fu=66.1 total_energy_ev_per_cell=-19.39 ef_ev_per_atom=0.086 pbc="T T T"
Rh 2.001 1.411 0.234
Pt 0.000 2.604 1.789
Hg 2.001 0.936 3.080
Pt 0.000 2.090 4.840